1.
InHg2Pb after structural relaxation. Source: Alexandria via LeMat-Bulk, functional PBE-GGA.

Properties
E_form: 0.03 eV/atom
Mass density: 10.9 g cm⁻³

a = 3.9211 Å, b = 5.1858 Å, c = 10.8143 Å
α = 90.00°, β = 90.00°, γ = 90.00°
Sites, in units of the cell vectors:
In1 0.0000 0.0000 0.0000
In2 0.5000 0.5000 0.5000
Hg1 0.0000 0.0000 0.5223
Hg2 0.0000 0.5000 0.2617
Hg3 0.5000 0.0000 0.7617
Hg4 0.5000 0.5000 0.0223
Pb1 0.0000 0.5000 0.7619
Pb2 0.5000 0.0000 0.2619

***

2.
In17Hg11Pb after structural relaxation. Source: Alexandria via LeMat-Bulk, functional PBE-GGA.

Properties
E_form: 0.03 eV/atom
Mass density: 9.1 g cm⁻³

a = 11.1116 Å, b = 11.1116 Å, c = 6.8636 Å
α = 104.08°, β = 104.08°, γ = 91.80°
Sites, in units of the cell vectors:
In1 0.0000 0.0000 0.0000
In2 0.0485 0.2918 0.0679
In3 0.1351 0.5414 0.9895
In4 0.1800 0.8254 0.2446
In5 0.2480 0.5512 0.5989
In6 0.2918 0.0485 0.0679
In7 0.3731 0.3731 0.9001
In8 0.4143 0.7804 0.0210
In9 0.4390 0.8680 0.6104
In10 0.5414 0.1351 0.9895
In11 0.5512 0.2480 0.5989
In12 0.6851 0.6851 0.4926
In13 0.7804 0.4143 0.0210
In14 0.7815 0.7815 0.1797
In15 0.8254 0.1800 0.2446
In16 0.8680 0.4390 0.6104
In17 0.9892 0.9892 0.4874
Hg1 0.0923 0.2824 0.5845
Hg2 0.1529 0.8133 0.7019
Hg3 0.2824 0.0923 0.5845
Hg4 0.3171 0.3171 0.3147
Hg5 0.4018 0.6056 0.3070
Hg6 0.5971 0.9821 0.3430
Hg7 0.6056 0.4018 0.3070
Hg8 0.7118 0.9270 0.8445
Hg9 0.8133 0.1529 0.7019
Hg10 0.9270 0.7118 0.8445
Hg11 0.9821 0.5971 0.3430
Pb1 0.5743 0.5743 0.8204

***

3.
In15Hg2Pb2 after structural relaxation. Source: Alexandria via LeMat-Bulk, functional PBE-GGA.

Properties
E_form: 0.06 eV/atom
Mass density: 7.7 g cm⁻³

a = 9.2603 Å, b = 9.2603 Å, c = 9.2603 Å
α = 58.76°, β = 58.76°, γ = 58.76°
Sites, in units of the cell vectors:
In1 0.0000 0.0000 0.5000
In2 0.0000 0.3227 0.6773
In3 0.0000 0.5000 0.0000
In4 0.0000 0.6773 0.3227
In5 0.2057 0.5649 0.5649
In6 0.3227 0.0000 0.6773
In7 0.3227 0.6773 0.0000
In8 0.4351 0.4351 0.7943
In9 0.4351 0.7943 0.4351
In10 0.5000 0.0000 0.0000
In11 0.5649 0.2057 0.5649
In12 0.5649 0.5649 0.2057
In13 0.6773 0.0000 0.3227
In14 0.6773 0.3227 0.0000
In15 0.7943 0.4351 0.4351
Hg1 0.0871 0.0871 0.0871
Hg2 0.9129 0.9129 0.9129
Pb1 0.2555 0.2555 0.2555
Pb2 0.7445 0.7445 0.7445

***

Q: Which formula does entry 3 have?
A: In15Hg2Pb2